[1]
# LaSc2Ta | the Alexandria database | PBE | optimized geometry
data_LaSc2Ta
_cell_length_a 3.1626
_cell_length_b 3.1626
_cell_length_c 9.9542
_cell_angle_alpha 90.00
_cell_angle_beta 90.00
_cell_angle_gamma 90.00
_symmetry_space_group_name_H-M 'P 1'
_symmetry_Int_Tables_number 1
loop_
_symmetry_equiv_pos_as_xyz
'x,y,z'
loop_
_atom_site_label
_atom_site_type_symbol
_atom_site_fract_x
_atom_site_fract_y
_atom_site_fract_z
La1 La 0.0000 0.0000 0.0000
Sc1 Sc 0.5000 0.5000 0.2932
Sc2 Sc 0.5000 0.5000 0.7068
Ta1 Ta 0.0000 0.0000 0.5000
# - ΔH_f (0 K) (eV per atom) = 0.164
# - total DFT energy (no corrections) (eV/atom) = -7.197

[2]
# Li2CrSi | the Alexandria database | PBE | optimized geometry
data_Li2CrSi
_cell_length_a 3.3219
_cell_length_b 3.8816
_cell_length_c 8.5483
_cell_angle_alpha 90.00
_cell_angle_beta 90.00
_cell_angle_gamma 90.00
_symmetry_space_group_name_H-M 'P 1'
_symmetry_Int_Tables_number 1
loop_
_symmetry_equiv_pos_as_xyz
'x,y,z'
loop_
_atom_site_label
_atom_site_type_symbol
_atom_site_fract_x
_atom_site_fract_y
_atom_site_fract_z
Li1 Li 0.0000 0.0000 0.0000
Li2 Li 0.0000 0.5000 0.3031
Li3 Li 0.5000 0.0000 0.3031
Li4 Li 0.5000 0.5000 0.0000
Cr1 Cr 0.0000 0.0000 0.5556
Cr2 Cr 0.5000 0.5000 0.5556
Si1 Si 0.0000 0.5000 0.7643
Si2 Si 0.5000 0.0000 0.7643
# - formation energy from raw total energies (eV per atom) = 0.0695
# - total DFT energy (no corrections) (eV/atom) = -4.649

[3]
# SmAgAs2 | the Alexandria database | PBE | optimized geometry
data_SmAgAs2
_cell_length_a 4.0470
_cell_length_b 4.0470
_cell_length_c 10.4887
_cell_angle_alpha 90.00
_cell_angle_beta 90.00
_cell_angle_gamma 90.00
_symmetry_space_group_name_H-M 'P 1'
_symmetry_Int_Tables_number 1
loop_
_symmetry_equiv_pos_as_xyz
'x,y,z'
loop_
_atom_site_label
_atom_site_type_symbol
_atom_site_fract_x
_atom_site_fract_y
_atom_site_fract_z
Sm1 Sm 0.2500 0.2500 0.2266
Sm2 Sm 0.7500 0.7500 0.7734
Ag1 Ag 0.2500 0.7500 0.5000
Ag2 Ag 0.7500 0.2500 0.5000
As1 As 0.2500 0.2500 0.6822
As2 As 0.2500 0.7500 0.0000
As3 As 0.7500 0.2500 0.0000
As4 As 0.7500 0.7500 0.3178
# - ΔH_f (0 K) (eV per atom) = -0.764
# - total DFT energy (no corrections) (eV/atom) = -4.981

[4]
# La2YAl | the Alexandria database | PBE | optimized geometry
data_La2YAl
_cell_length_a 6.5420
_cell_length_b 11.4057
_cell_length_c 3.5356
_cell_angle_alpha 90.00
_cell_angle_beta 115.09
_cell_angle_gamma 90.00
_symmetry_space_group_name_H-M 'P 1'
_symmetry_Int_Tables_number 1
loop_
_symmetry_equiv_pos_as_xyz
'x,y,z'
loop_
_atom_site_label
_atom_site_type_symbol
_atom_site_fract_x
_atom_site_fract_y
_atom_site_fract_z
La1 La 0.2500 0.2500 0.0000
La2 La 0.2500 0.7500 0.0000
La3 La 0.7500 0.2500 0.0000
La4 La 0.7500 0.7500 0.0000
Y1 Y 0.0000 0.0000 0.5000
Y2 Y 0.5000 0.5000 0.5000
Al1 Al 0.0000 0.5000 0.5000
Al2 Al 0.5000 0.0000 0.5000
# - ΔH_f (0 K) (eV per atom) = 0.003
# - total DFT energy (no corrections) (eV/atom) = -5.012

[5]
# NbCu2S4 | the Alexandria database | PBE | optimized geometry
data_NbCu2S4
_cell_length_a 4.9019
_cell_length_b 4.9019
_cell_length_c 11.4497
_cell_angle_alpha 90.00
_cell_angle_beta 90.00
_cell_angle_gamma 90.00
_symmetry_space_group_name_H-M 'P 1'
_symmetry_Int_Tables_number 1
loop_
_symmetry_equiv_pos_as_xyz
'x,y,z'
loop_
_atom_site_label
_atom_site_type_symbol
_atom_site_fract_x
_atom_site_fract_y
_atom_site_fract_z
Nb1 Nb 0.0000 0.0000 0.0000
Nb2 Nb 0.5000 0.5000 0.5000
Cu1 Cu 0.0000 0.0000 0.3952
Cu2 Cu 0.0000 0.0000 0.6048
Cu3 Cu 0.5000 0.5000 0.1048
Cu4 Cu 0.5000 0.5000 0.8952
S1 S 0.0000 0.0000 0.2071
S2 S 0.0000 0.0000 0.7929
S3 S 0.0000 0.5000 0.0000
S4 S 0.0000 0.5000 0.5000
S5 S 0.5000 0.0000 0.0000
S6 S 0.5000 0.0000 0.5000
S7 S 0.5000 0.5000 0.2929
S8 S 0.5000 0.5000 0.7071
# - relative energy among the computed polymorphs (meV/atom) = 392.9
# - formation energy from raw total energies (eV per atom) = -0.0534
# - total DFT energy (no corrections) (eV/atom) = -5.021

[6]
# Hf2CrIrN | the Alexandria database | PBE | optimized geometry
data_Hf2CrIrN
_cell_length_a 4.4849
_cell_length_b 4.4849
_cell_length_c 3.6572
_cell_angle_alpha 90.00
_cell_angle_beta 90.00
_cell_angle_gamma 90.00
_symmetry_space_group_name_H-M 'P 1'
_symmetry_Int_Tables_number 1
loop_
_symmetry_equiv_pos_as_xyz
'x,y,z'
loop_
_atom_site_label
_atom_site_type_symbol
_atom_site_fract_x
_atom_site_fract_y
_atom_site_fract_z
Hf1 Hf 0.0000 0.5000 0.0000
Hf2 Hf 0.5000 0.0000 0.0000
Cr1 Cr 0.0000 0.0000 0.5000
Ir1 Ir 0.5000 0.5000 0.5000
N1 N 0.0000 0.0000 0.0000
# - formation energy from raw total energies (eV per atom) = -0.9373
# - total DFT energy (no corrections) (eV/atom) = -10.281

Which of these has the lowest total DFT energy (no corrections)? Hf2CrIrN

Which of these has the lowest total DFT energy (no corrections)? Hf2CrIrN

Look up the total DFT energy (no corrections) of the fifth one. -5.021 eV/atom

What is the formula in the sixth record? Hf2CrIrN